Entry from Alexandria via LeMat-Bulk: a PBEsol-optimized structure of K2YCo (SCAN).

```
K2YCo
1.0
4.699 0.000 0.000
0.000 4.699 0.000
0.000 0.000 5.925
Co K Y
1 2 1
Direct
0.500 0.500 0.500
0.000 0.000 0.731
0.000 0.000 0.269
0.500 0.500 0.000
```

Computed properties:
Density = 2.869 g/cm³
N(E_F) = 3.490 states/eV/f.u.
E above lowest polymorph = 0.000 eV per atom
Calculated formation energy = 0.956 eV per atom